Computed, not measured: a relaxed Ta2CrNO5 crystal at the PBE with a Hubbard U level of DFT.

E above lowest polymorph	0	meV/atom
SG	Pmn2_1

Cell: 4.7489 4.7539 9.2604 Å, 90.00 90.00 90.00°
With the nearest neighbours (Å) after each atom.
Fractional coordinates of all 18 atoms:
1 Ta 0.7440 0.0152 0.3379  1 N 1.95, 5 O 1.99-2.11
2 Ta 0.7440 0.0152 0.6621  1 N 1.95, 5 O 1.99-2.11
3 Ta 0.2560 0.5152 0.1621  1 N 1.95, 5 O 1.99-2.11
4 Ta 0.2560 0.5152 0.8379  1 N 1.95, 5 O 1.99-2.11
5 Cr 0.7522 0.9953 0.0000  1 N 2.04, 5 O 2.05-2.06
6 Cr 0.2478 0.4953 0.5000  1 N 2.04, 5 O 2.05-2.06
7 N 0.4489 0.6921 0.0000  2 Ta 1.95, 1 Cr 2.04
8 N 0.5511 0.1921 0.5000  2 Ta 1.95, 1 Cr 2.04
9 O 0.9418 0.8016 0.5000  2 Ta 2.04, 1 Cr 2.06
10 O 0.0582 0.3016 0.0000  2 Ta 2.04, 1 Cr 2.06
11 O 0.9478 0.7983 0.8311  2 Ta 1.99-2.11, 1 Cr 2.05
12 O 0.9478 0.7983 0.1689  2 Ta 1.99-2.11, 1 Cr 2.05
13 O 0.0522 0.2983 0.3311  2 Ta 1.99-2.11, 1 Cr 2.05
14 O 0.0522 0.2983 0.6689  2 Ta 1.99-2.11, 1 Cr 2.05
15 O 0.4459 0.6919 0.3302  2 Ta 1.99-2.09, 1 Cr 2.06
16 O 0.4459 0.6919 0.6698  2 Ta 1.99-2.09, 1 Cr 2.06
17 O 0.5541 0.1919 0.1698  2 Ta 1.99-2.09, 1 Cr 2.06
18 O 0.5541 0.1919 0.8302  2 Ta 1.99-2.09, 1 Cr 2.06